DFT (PBE) results for a relaxed structure of ScTaTcMo.

Its crystal system is cubic. The formation energy comes out at -0.10 eV/atom. The value obtained for the total DFT energy (no corrections) is -159.18 eV/cell. The total moment comes out at 0.00 Bohr magnetons per cell.

The structure belongs to space group F-43m (No. 216); the cell edges are 6.4660, 6.4660 and 6.4660 Å and the angles 90.00°, 90.00° and 90.00°. Symmetry generates all atoms from Sc at (0.0000, 0.0000, 0.0000), Ta at (0.0000, 0.0000, 0.5000), Tc at (0.2500, 0.2500, 0.7500) and Mo at (0.2500, 0.2500, 0.2500).